1.
GGA-PBE CsAg3Br6, optimized geometry; density of states at the Fermi level = 3.4 states/eV/cell; E_form (uncorrected) = -0.556 eV per atom; E = -25.00 eV per cell; space group = P1, No. 1; energy above the lowest structure with this stoichiometry = 0.000 eV/atom
1.0
-1.932 -7.097 -1.226
2.957 1.656 6.530
-6.240 4.960 0.490
Cs Ag Br
1 3 6
Direct
0.784 0.879 0.698 Cs
0.716 0.355 0.032 Ag
0.364 0.672 0.016 Ag
0.272 0.145 0.433 Ag
0.284 0.419 0.690 Br
0.165 0.750 0.224 Br
0.871 0.074 0.200 Br
0.327 0.922 0.824 Br
0.718 0.328 0.677 Br
0.499 0.457 0.206 Br

=====

2.
GGA-PBE Cs2Ag3Br8, optimized geometry; density of states at the Fermi level = 12.4 states/eV/cell; E_form (uncorrected) = -0.653 eV per atom; E = -32.13 eV per cell; space group = C2/m, No. 12; energy above the lowest structure with this stoichiometry = 0.048 eV/atom
1.0
-2.774 6.149 -1.597
-2.391 -3.177 -8.078
-4.808 -3.273 7.728
Cs Ag Br
2 3 8
Direct
0.340 0.272 0.544 Cs
0.660 0.728 0.456 Cs
0.500 0.000 0.000 Ag
0.000 0.271 0.000 Ag
0.000 0.729 0.000 Ag
0.021 0.616 0.233 Br
0.979 0.384 0.767 Br
0.867 0.098 0.196 Br
0.133 0.902 0.804 Br
0.623 0.691 0.824 Br
0.623 0.133 0.824 Br
0.377 0.867 0.176 Br
0.377 0.309 0.176 Br

=====

3.
GGA-PBE Cs5AgBr4, optimized geometry; density of states at the Fermi level = 0.0 states/eV/cell; E_form (uncorrected) = -1.407 eV per atom; E = -27.88 eV per cell; space group = I4/mmm, No. 139
1.0
-3.495 0.316 3.919
-0.764 -5.198 -0.262
15.786 -0.191 10.563
Cs Ag Br
5 1 4
Direct
0.102 0.102 0.205 Cs
0.500 0.500 0.000 Cs
0.898 0.898 0.795 Cs
0.300 0.300 0.599 Cs
0.700 0.700 0.401 Cs
0.000 0.000 0.000 Ag
0.399 0.399 0.798 Br
0.799 0.799 0.598 Br
0.201 0.201 0.402 Br
0.601 0.601 0.202 Br

=====

4.
GGA-PBE CsAgBr4, optimized geometry; density of states at the Fermi level = 14.3 states/eV/cell; E_form (uncorrected) = -0.642 eV per atom; E = -28.50 eV per cell; space group = Cmcm, No. 63
1.0
5.509 0.000 0.000
0.000 7.891 0.000
-2.755 0.000 9.651
Cs Ag Br
2 2 8
Direct
0.385 0.750 0.771 Cs
0.615 0.250 0.229 Cs
0.095 0.750 0.191 Ag
0.905 0.250 0.809 Ag
0.190 0.515 0.380 Br
0.810 0.485 0.620 Br
0.190 0.985 0.380 Br
0.810 0.015 0.620 Br
0.591 0.750 0.182 Br
0.409 0.250 0.818 Br
0.000 0.500 0.000 Br
0.000 0.000 0.000 Br

=====

5.
GGA-PBE Cs2Ag2Br7, optimized geometry; density of states at the Fermi level = 4.5 states/eV/cell; E_form (uncorrected) = -0.768 eV per atom; E = -27.57 eV per cell; space group = C2/m, No. 12
1.0
-2.045 -1.341 5.243
-7.433 -1.942 -6.602
7.918 -6.091 -1.674
Cs Ag Br
2 2 7
Direct
0.500 0.709 0.291 Cs
0.500 0.291 0.709 Cs
0.774 0.274 0.274 Ag
0.226 0.726 0.726 Ag
0.783 0.435 0.132 Br
0.217 0.868 0.565 Br
0.217 0.565 0.868 Br
0.783 0.132 0.435 Br
0.744 0.743 0.743 Br
0.000 0.000 0.000 Br
0.256 0.257 0.257 Br

=====

6.
GGA-PBE Cs6AgBr5, optimized geometry; density of states at the Fermi level = 0.0 states/eV/cell; E_form (uncorrected) = -1.470 eV per atom; E = -33.98 eV per cell; space group = C2/m, No. 12
1.0
-7.091 5.725 -0.355
-5.865 -2.823 -6.370
-6.709 -5.753 2.216
Cs Br Ag
6 5 1
Direct
0.747 0.084 0.341 Cs
0.253 0.575 0.341 Cs
0.254 0.256 0.000 Cs
0.746 0.744 0.000 Cs
0.747 0.425 0.659 Cs
0.253 0.916 0.659 Cs
0.500 0.165 0.669 Br
0.000 0.333 0.334 Br
0.500 0.500 0.000 Br
0.000 0.667 0.666 Br
0.500 0.835 0.331 Br
0.000 0.000 0.000 Ag

=====

7.
GGA-PBE Cs3AgBr2, optimized geometry; density of states at the Fermi level = 0.0 states/eV/cell; E_form (uncorrected) = -1.134 eV per atom; E = -15.56 eV per cell; space group = Fmm2, No. 42
1.0
-4.822 -0.643 2.661
2.717 -1.779 4.494
1.696 11.304 0.028
Cs Ag Br
3 1 2
Direct
0.934 0.936 0.874 Cs
0.265 0.266 0.535 Cs
0.604 0.605 0.213 Cs
0.434 0.436 0.874 Ag
0.101 0.102 0.207 Br
0.768 0.769 0.541 Br

=====

8.
GGA-PBE Cs3AgBr5, optimized geometry; density of states at the Fermi level = 27.4 states/eV/cell; E_form (uncorrected) = -1.235 eV per atom; E = -49.78 eV per cell; space group = I4/mcm, No. 140
1.0
-1.194 -9.171 3.047
9.630 -0.869 1.157
-4.904 7.667 5.597
Cs Ag Br
6 2 10
Direct
0.658 0.158 0.000 Cs
0.342 0.842 0.000 Cs
0.842 0.658 0.000 Cs
0.158 0.342 0.000 Cs
0.250 0.250 0.500 Cs
0.750 0.750 0.500 Cs
0.750 0.250 0.500 Ag
0.250 0.750 0.500 Ag
0.999 0.499 0.708 Br
0.709 0.209 0.708 Br
0.209 0.999 0.708 Br
0.499 0.709 0.708 Br
0.001 0.501 0.292 Br
0.291 0.791 0.292 Br
0.791 0.001 0.292 Br
0.501 0.291 0.292 Br
0.500 0.500 0.000 Br
0.000 0.000 0.000 Br

=====

9.
GGA-PBE CsAg2Br6, optimized geometry; density of states at the Fermi level = 12.5 states/eV/cell; E_form (uncorrected) = -0.462 eV per atom; E = -20.75 eV per cell; space group = P-31m, No. 162
1.0
7.132 0.000 0.000
-3.566 6.176 0.000
0.000 0.000 7.762
Cs Ag Br
1 2 6
Direct
0.000 0.000 0.000 Cs
0.333 0.667 0.500 Ag
0.667 0.333 0.500 Ag
0.577 0.000 0.281 Br
0.423 0.423 0.281 Br
0.000 0.577 0.281 Br
0.577 0.577 0.719 Br
0.000 0.423 0.719 Br
0.423 0.000 0.719 Br

=====

10.
GGA-PBE Cs3AgBr, optimized geometry; density of states at the Fermi level = 3.4 states/eV/cell; E_form (uncorrected) = -0.654 eV per atom; E = -20.71 eV per cell; space group = P2_1/m, No. 11; energy above the lowest structure with this stoichiometry = 0.000 eV/atom
1.0
-3.188 3.463 1.615
-6.595 -0.245 -12.495
-3.837 -6.448 6.253
Cs Ag Br
6 2 2
Direct
0.250 0.575 0.356 Cs
0.750 0.425 0.644 Cs
0.250 0.906 0.678 Cs
0.750 0.274 0.017 Cs
0.750 0.094 0.322 Cs
0.250 0.726 0.983 Cs
0.750 0.547 0.058 Ag
0.250 0.453 0.942 Ag
0.750 0.699 0.666 Br
0.250 0.301 0.334 Br

=====

11.
GGA-PBE Cs3AgBr4, optimized geometry; density of states at the Fermi level = 0.0 states/eV/cell; E_form (uncorrected) = -1.417 eV per atom; E = -93.74 eV per cell; space group = Pnma, No. 62; energy above the lowest structure with this stoichiometry = 0.000 eV/atom
1.0
10.052 0.000 0.000
0.000 10.889 0.000
0.000 0.000 12.421
Cs Br Ag
12 16 4
Direct
0.396 0.572 0.750 Cs
0.896 0.928 0.750 Cs
0.604 0.428 0.250 Cs
0.104 0.072 0.250 Cs
0.474 0.799 0.045 Cs
0.974 0.701 0.455 Cs
0.526 0.201 0.545 Cs
0.026 0.299 0.955 Cs
0.526 0.201 0.955 Cs
0.026 0.299 0.545 Cs
0.474 0.799 0.455 Cs
0.974 0.701 0.045 Cs
0.185 0.974 0.552 Br
0.685 0.526 0.948 Br
0.815 0.026 0.052 Br
0.315 0.474 0.448 Br
0.815 0.026 0.448 Br
0.315 0.474 0.052 Br
0.185 0.974 0.948 Br
0.685 0.526 0.552 Br
0.287 0.265 0.750 Br
0.787 0.235 0.750 Br
0.713 0.735 0.250 Br
0.213 0.765 0.250 Br
0.532 0.892 0.750 Br
0.032 0.608 0.750 Br
0.468 0.108 0.250 Br
0.968 0.392 0.250 Br
0.290 0.007 0.750 Ag
0.790 0.493 0.750 Ag
0.710 0.993 0.250 Ag
0.210 0.507 0.250 Ag

=====

12.
GGA-PBE CsAg6Br8, optimized geometry; density of states at the Fermi level = 14.3 states/eV/cell; E_form (uncorrected) = -0.503 eV per atom; E = -38.89 eV per cell; space group = R-3, No. 148
1.0
7.867 -0.301 -0.310
-0.546 7.853 -0.310
-0.546 -0.563 7.839
Cs Ag Br
1 6 8
Direct
0.000 0.000 0.000 Cs
0.636 0.359 0.762 Ag
0.359 0.762 0.636 Ag
0.762 0.636 0.359 Ag
0.364 0.641 0.238 Ag
0.641 0.238 0.364 Ag
0.238 0.364 0.641 Ag
0.681 0.681 0.681 Br
0.319 0.319 0.319 Br
0.601 0.898 0.217 Br
0.898 0.217 0.601 Br
0.217 0.601 0.898 Br
0.399 0.102 0.783 Br
0.102 0.783 0.399 Br
0.783 0.399 0.102 Br

=====

> Among the records above, which one has the highest density of states at the Fermi level?

Cs3AgBr5

=====

> Which value of E does entry 4 give?

-28.50 eV per cell

=====

> What is the formula in the tenth record?

Cs3AgBr

=====

What did the ninth record say?
GGA-PBE CsAg2Br6, optimized geometry; density of states at the Fermi level = 12.5 states/eV/cell; E_form (uncorrected) = -0.462 eV per atom; E = -20.75 eV per cell; space group = P-31m, No. 162
1.0
7.132 0.000 0.000
-3.566 6.176 0.000
0.000 0.000 7.762
Cs Ag Br
1 2 6
Direct
0.000 0.000 0.000 Cs
0.333 0.667 0.500 Ag
0.667 0.333 0.500 Ag
0.577 0.000 0.281 Br
0.423 0.423 0.281 Br
0.000 0.577 0.281 Br
0.577 0.577 0.719 Br
0.000 0.423 0.719 Br
0.423 0.000 0.719 Br